[1]
A crystal of NaLiRu3 relaxed with PBEsol, computed with SCAN.

Results
N(E_F) in states/eV per atom: 0.96
E in eV/atom: -20.8224
Magnetic moment in μB/cell: 3.351
Crystal system: cubic
Energy relative to the elements in eV/atom: 1.394

POSCAR file:
```
NaLiRu3
1.0
4.1661 0.0000 0.0000
0.0000 4.1661 0.0000
0.0000 0.0000 4.1661
Na Ru Li
1 3 1
direct
0.5000 0.5000 0.5000
0.0000 0.0000 0.5000
0.5000 0.0000 0.0000
0.0000 0.5000 0.0000
0.0000 0.0000 0.0000
```

[2]
A crystal of CrFeSi2I relaxed with PBEsol, computed with SCAN.

Results
ΔE_f (raw) in eV per atom: 0.5967
N(E_F) in states/eV per atom: 0.26
E in eV/atom: -18.0607
Magnetic moment in μB/cell: 5.289
Crystal system: tetragonal

POSCAR file:
```
CrFeSi2I
1.0
-2.4554 -0.4922 3.3972
1.3116 -3.9945 0.3692
4.2695 1.7100 3.3337
Si Cr I Fe
2 1 1 1
direct
0.5000 0.0000 0.0000
0.0000 0.5000 0.0000
0.5000 0.5000 0.5000
0.0000 0.0000 0.5000
0.0000 0.0000 0.0000
```

[3]
A crystal of CrPBr2 relaxed with PBEsol, computed with SCAN.

Results
ΔE_f (raw) in eV per atom: 0.5984
N(E_F) in states/eV per atom: 0.73
Distance to the lowest polymorph of the same formula in eV per formula unit: 3.89
E in eV/atom: -16.3272
Magnetic moment in μB/cell: 3.344
Crystal system: cubic

POSCAR file:
```
CrPBr2
1.0
-3.5269 1.7812 2.6277
-4.4420 -1.5455 -0.6300
-2.0724 -2.6820 3.3210
Cr Br P
1 2 1
direct
0.5000 0.5000 0.5000
0.7500 0.7500 0.7500
0.2500 0.2500 0.2500
0.0000 0.0000 0.0000
```

[4]
A crystal of Sr2MnMo relaxed with PBEsol, computed with SCAN.

Results
N(E_F) in states/eV per atom: 1.01
Distance to the lowest polymorph of the same formula in eV per formula unit: 0.00
E in eV/atom: -23.9267
Magnetic moment in μB/cell: 1.504
Crystal system: monoclinic
Energy relative to the elements in eV/atom: 0.496

POSCAR file:
```
Sr2MnMo
1.0
-1.4334 -0.2426 -3.6599
0.4467 -3.2650 2.1601
-7.9921 3.1789 2.9193
Sr Mo Mn
2 1 1
direct
0.2152 0.4304 0.6503
0.0347 0.0694 0.0997
0.7918 0.5835 0.3752
0.4584 0.9167 0.3749
```